DFT (meta-GGA SCAN) results for a PBEsol-optimized structure of CsIn3O5.

The space group is Pnma (No. 62) and the conventional cell measures 10.0973, 3.3537 and 16.5866 Å, with angles of 90.00, 90.00 and 90.00 degrees. The distinct sites, in fractional coordinates, are Cs at (0.0332, 0.2500, 0.1231), In at (0.1070, 0.2500, 0.6630), In at (0.1459, 0.7500, 0.4890), In at (0.1844, 0.2500, 0.3195), O at (0.0236, 0.2500, 0.4237), O at (0.0698, 0.7500, 0.2718), O at (0.1919, 0.7500, 0.7172), O at (0.2224, 0.2500, 0.5558) and O at (0.2271, 0.2500, 0.8876).

The raw formation energy is -1.762 eV per atom. As for the density of states at the Fermi level: 0.00 states/eV/f.u. For the total energy, the calculation gives -739.9 eV per cell.